(A)
Here is a relaxed Tl2IrRu crystal from Alexandria. Energies are from GGA-PBE.

Summary:
Symmetry = No. 44
Crystal system = orthorhombic
Mass density = 14.51 g/cm3
DOS(E_F) = 5.24 states/eV/cell

Unit cell a=3.000 b=4.589 c=11.677 alpha=90.00 beta=90.00 gamma=90.00
Fractional positions:
Tl  0.000  0.000  0.000
Tl  0.000  0.500  0.220
Tl  0.500  0.000  0.720
Tl  0.500  0.500  0.500
Ir  0.000  0.500  0.814
Ir  0.500  0.000  0.314
Ru  0.000  0.000  0.498
Ru  0.500  0.500  0.998

***

(B)
Here is a relaxed Tl2IrRu crystal from Alexandria. Energies are from GGA-PBE.

Summary:
Symmetry = No. 216
Crystal system = cubic
Mass density = 15.22 g/cm3
DOS(E_F) = 19.94 states/eV/cell

Unit cell a=6.742 b=6.742 c=6.742 alpha=90.00 beta=90.00 gamma=90.00
Fractional positions:
Tl  0.000  0.000  0.000
Tl  0.000  0.500  0.500
Tl  0.250  0.250  0.250
Tl  0.250  0.750  0.750
Tl  0.500  0.000  0.500
Tl  0.500  0.500  0.000
Tl  0.750  0.250  0.750
Tl  0.750  0.750  0.250
Ir  0.000  0.000  0.500
Ir  0.000  0.500  0.000
Ir  0.500  0.000  0.000
Ir  0.500  0.500  0.500
Ru  0.250  0.250  0.750
Ru  0.250  0.750  0.250
Ru  0.750  0.250  0.250
Ru  0.750  0.750  0.750

***

(C)
Here is a relaxed Tl2IrRu crystal from Alexandria. Energies are from GGA-PBE.

Summary:
Symmetry = No. 47
Crystal system = orthorhombic
Mass density = 15.32 g/cm3
DOS(E_F) = 3.60 states/eV/cell

Unit cell a=3.161 b=4.525 c=5.319 alpha=90.00 beta=90.00 gamma=90.00
Fractional positions:
Tl  0.000  0.000  0.000
Tl  0.500  0.000  0.500
Ir  0.000  0.500  0.500
Ru  0.500  0.500  0.000

***

Calculated relative energies: (A) 0; (B) 310; (C) 166, given in meV/atom

***

(A)
Here is a relaxed Tm6Ir2Ru crystal from Alexandria. Energies are from GGA-PBE.

Summary:
Symmetry = No. 14
Crystal system = monoclinic
Mass density = 11.26 g/cm3
DOS(E_F) = 12.73 states/eV/cell

Unit cell a=6.565 b=7.216 c=11.156 alpha=90.00 beta=123.22 gamma=90.00
Fractional positions:
Tm  0.078  0.037  0.242
Tm  0.078  0.463  0.742
Tm  0.226  0.667  0.073
Tm  0.226  0.833  0.573
Tm  0.394  0.172  0.069
Tm  0.394  0.328  0.569
Tm  0.606  0.672  0.431
Tm  0.606  0.828  0.931
Tm  0.774  0.167  0.427
Tm  0.774  0.333  0.927
Tm  0.922  0.537  0.258
Tm  0.922  0.963  0.758
Ir  0.317  0.133  0.778
Ir  0.317  0.367  0.278
Ir  0.683  0.633  0.722
Ir  0.683  0.867  0.222
Ru  0.500  0.000  0.500
Ru  0.500  0.500  0.000

***

(B)
Here is a relaxed Tm6Ir2Ru crystal from Alexandria. Energies are from GGA-PBE.

Summary:
Symmetry = No. 71
Crystal system = orthorhombic
Mass density = 11.08 g/cm3
DOS(E_F) = 7.05 states/eV/cell

Unit cell a=8.187 b=8.187 c=8.187 alpha=146.39 beta=131.72 gamma=60.11
Fractional positions:
Tm  0.083  0.334  0.749
Tm  0.248  0.000  0.248
Tm  0.415  0.666  0.749
Tm  0.585  0.334  0.251
Tm  0.752  0.000  0.752
Tm  0.917  0.666  0.251
Ir  0.333  0.833  0.500
Ir  0.667  0.167  0.500
Ru  0.000  0.500  0.500

***

Calculated relative energies: (A) 44; (B) 0, given in meV/atom

***

(A)
Here is a relaxed YTmIrRu crystal from Alexandria. Energies are from GGA-PBE.

Summary:
Symmetry = No. 216
Crystal system = cubic
Mass density = 11.71 g/cm3
DOS(E_F) = 7.27 states/eV/cell

Unit cell a=6.786 b=6.786 c=6.786 alpha=90.00 beta=90.00 gamma=90.00
Fractional positions:
Y  0.000  0.000  0.000
Y  0.000  0.500  0.500
Y  0.500  0.000  0.500
Y  0.500  0.500  0.000
Tm  0.000  0.000  0.500
Tm  0.000  0.500  0.000
Tm  0.500  0.000  0.000
Tm  0.500  0.500  0.500
Ir  0.250  0.250  0.750
Ir  0.250  0.750  0.250
Ir  0.750  0.250  0.250
Ir  0.750  0.750  0.750
Ru  0.250  0.250  0.250
Ru  0.250  0.750  0.750
Ru  0.750  0.250  0.750
Ru  0.750  0.750  0.250

***

(B)
Here is a relaxed YTmIrRu crystal from Alexandria. Energies are from GGA-PBE.

Summary:
Symmetry = No. 47
Crystal system = orthorhombic
Mass density = 11.72 g/cm3
DOS(E_F) = 1.50 states/eV/cell

Unit cell a=3.382 b=4.797 c=4.812 alpha=90.00 beta=90.00 gamma=90.00
Fractional positions:
Y  0.000  0.000  0.000
Tm  0.000  0.500  0.500
Ir  0.500  0.000  0.500
Ru  0.500  0.500  0.000

***

Calculated relative energies: (A) 0; (B) 15, given in meV/atom

***

(A)
Here is a relaxed UZnIrRu crystal from Alexandria. Energies are from GGA-PBE.

Summary:
Symmetry = No. 119
Crystal system = tetragonal
Mass density = 14.72 g/cm3
DOS(E_F) = 9.60 states/eV/cell

Unit cell a=4.292 b=4.292 c=7.309 alpha=90.00 beta=90.00 gamma=90.00
Fractional positions:
U  0.000  0.000  0.000
U  0.500  0.500  0.500
Zn  0.000  0.000  0.500
Zn  0.500  0.500  0.000
Ir  0.000  0.500  0.250
Ir  0.500  0.000  0.750
Ru  0.000  0.500  0.750
Ru  0.500  0.000  0.250

***

(B)
Here is a relaxed UZnIrRu crystal from Alexandria. Energies are from GGA-PBE.

Summary:
Symmetry = No. 216
Crystal system = cubic
Mass density = 14.52 g/cm3
DOS(E_F) = 21.94 states/eV/cell

Unit cell a=6.487 b=6.487 c=6.487 alpha=90.00 beta=90.00 gamma=90.00
Fractional positions:
U  0.000  0.000  0.000
U  0.000  0.500  0.500
U  0.500  0.000  0.500
U  0.500  0.500  0.000
Zn  0.000  0.000  0.500
Zn  0.000  0.500  0.000
Zn  0.500  0.000  0.000
Zn  0.500  0.500  0.500
Ir  0.250  0.250  0.250
Ir  0.250  0.750  0.750
Ir  0.750  0.250  0.750
Ir  0.750  0.750  0.250
Ru  0.250  0.250  0.750
Ru  0.250  0.750  0.250
Ru  0.750  0.250  0.250
Ru  0.750  0.750  0.750

***

Calculated relative energies: (A) 0; (B) 38, given in meV/atom

***

(A)
Here is a relaxed VIrRu3 crystal from Alexandria. Energies are from GGA-PBE.

Summary:
Symmetry = No. 221
Crystal system = cubic
Mass density = 10.88 g/cm3
DOS(E_F) = 8.34 states/eV/cell

Unit cell a=4.369 b=4.369 c=4.369 alpha=90.00 beta=90.00 gamma=90.00
Fractional positions:
V  0.000  0.000  0.000
Ir  0.500  0.500  0.500
Ru  0.000  0.000  0.500
Ru  0.000  0.500  0.000
Ru  0.500  0.000  0.000

***

(B)
Here is a relaxed VIrRu3 crystal from Alexandria. Energies are from GGA-PBE.

Summary:
Symmetry = No. 221
Crystal system = cubic
Mass density = 8.92 g/cm3
DOS(E_F) = 10.29 states/eV/cell

Unit cell a=4.669 b=4.669 c=4.669 alpha=90.00 beta=90.00 gamma=90.00
Fractional positions:
V  0.000  0.000  0.000
Ir  0.500  0.500  0.500
Ru  0.000  0.500  0.500
Ru  0.500  0.000  0.500
Ru  0.500  0.500  0.000

***

Calculated relative energies: (A) 0; (B) 453, given in meV/atom

***

(A)
Here is a relaxed VIr3Ru2 crystal from Alexandria. Energies are from GGA-PBE.

Summary:
Symmetry = No. 11
Crystal system = monoclinic
Mass density = 16.13 g/cm3
DOS(E_F) = 12.85 states/eV/cell

Unit cell a=6.362 b=2.773 c=9.683 alpha=90.00 beta=90.57 gamma=90.00
Fractional positions:
V  0.211  0.250  0.255
V  0.789  0.750  0.745
Ir  0.081  0.250  0.614
Ir  0.340  0.750  0.055
Ir  0.385  0.750  0.751
Ir  0.615  0.250  0.249
Ir  0.660  0.250  0.945
Ir  0.919  0.750  0.386
Ru  0.077  0.250  0.889
Ru  0.342  0.750  0.448
Ru  0.658  0.250  0.552
Ru  0.923  0.750  0.111

***

(B)
Here is a relaxed VIr3Ru2 crystal from Alexandria. Energies are from GGA-PBE.

Summary:
Symmetry = No. 65
Crystal system = orthorhombic
Mass density = 14.49 g/cm3
DOS(E_F) = 18.35 states/eV/cell

Unit cell a=4.556 b=15.409 c=2.709 alpha=90.00 beta=90.00 gamma=90.00
Fractional positions:
V  0.000  0.000  0.000
V  0.500  0.500  0.000
Ir  0.000  0.132  0.500
Ir  0.000  0.500  0.500
Ir  0.000  0.868  0.500
Ir  0.500  0.000  0.500
Ir  0.500  0.368  0.500
Ir  0.500  0.632  0.500
Ru  0.000  0.304  0.500
Ru  0.000  0.696  0.500
Ru  0.500  0.196  0.500
Ru  0.500  0.804  0.500

***

Calculated relative energies: (A) 0; (B) 628, given in meV/atom

***

(A)
Here is a relaxed VIrRu crystal from Alexandria. Energies are from GGA-PBE.

Summary:
Symmetry = No. 107
Crystal system = tetragonal
Mass density = 13.61 g/cm3
DOS(E_F) = 5.62 states/eV/cell

Unit cell a=2.702 b=2.702 c=11.510 alpha=90.00 beta=90.00 gamma=90.00
Fractional positions:
V  0.000  0.000  0.000
V  0.500  0.500  0.500
Ir  0.000  0.000  0.336
Ir  0.500  0.500  0.836
Ru  0.000  0.000  0.665
Ru  0.500  0.500  0.165

***

(B)
Here is a relaxed VIrRu crystal from Alexandria. Energies are from GGA-PBE.

Summary:
Symmetry = No. 63
Crystal system = orthorhombic
Mass density = 13.67 g/cm3
DOS(E_F) = 14.03 states/eV/cell

Unit cell a=2.739 b=14.078 c=4.337 alpha=90.00 beta=90.00 gamma=90.00
Fractional positions:
V  0.000  0.108  0.250
V  0.000  0.892  0.750
V  0.500  0.392  0.750
V  0.500  0.608  0.250
Ir  0.000  0.440  0.250
Ir  0.000  0.560  0.750
Ir  0.500  0.060  0.750
Ir  0.500  0.940  0.250
Ru  0.000  0.225  0.750
Ru  0.000  0.775  0.250
Ru  0.500  0.275  0.250
Ru  0.500  0.725  0.750

***

Calculated relative energies: (A) 96; (B) 0, given in meV/atom

***

(A)
Here is a relaxed VIrRu crystal from Alexandria. Energies are from GGA-PBE.

Summary:
Symmetry = No. 2
Crystal system = triclinic
Mass density = 13.62 g/cm3
DOS(E_F) = 10.95 states/eV/cell

Unit cell a=5.154 b=5.448 c=6.437 alpha=90.76 beta=103.42 gamma=106.56
Fractional positions:
V  0.136  0.393  0.373
V  0.237  0.440  0.958
V  0.763  0.560  0.042
V  0.864  0.607  0.627
Ir  0.102  0.890  0.359
Ir  0.216  0.921  0.971
Ir  0.784  0.079  0.029
Ir  0.898  0.110  0.641
Ru  0.436  0.733  0.691
Ru  0.456  0.240  0.700
Ru  0.544  0.760  0.300
Ru  0.564  0.267  0.309

***

(B)
Here is a relaxed VIrRu crystal from Alexandria. Energies are from GGA-PBE.

Summary:
Symmetry = No. 47
Crystal system = orthorhombic
Mass density = 11.90 g/cm3
DOS(E_F) = 3.95 states/eV/cell

Unit cell a=2.929 b=4.017 c=4.081 alpha=90.00 beta=90.00 gamma=90.00
Fractional positions:
V  0.000  0.000  0.000
Ir  0.500  0.000  0.500
Ru  0.500  0.500  0.000

***

(C)
Here is a relaxed VIrRu crystal from Alexandria. Energies are from GGA-PBE.

Summary:
Symmetry = No. 187
Crystal system = hexagonal
Mass density = 13.25 g/cm3
DOS(E_F) = 4.27 states/eV/cell

Unit cell a=4.310 b=4.310 c=2.681 alpha=90.00 beta=90.00 gamma=120.00
Fractional positions:
V  0.000  0.000  0.000
Ir  0.667  0.333  0.500
Ru  0.333  0.667  0.500

***

Calculated relative energies: (A) 0; (B) 614; (C) 224, given in meV/atom

***

(A)
Here is a relaxed V2IrRu3 crystal from Alexandria. Energies are from GGA-PBE.

Summary:
Symmetry = No. 10
Crystal system = monoclinic
Mass density = 11.93 g/cm3
DOS(E_F) = 4.67 states/eV/cell

Unit cell a=4.562 b=2.813 c=6.557 alpha=90.00 beta=99.01 gamma=90.00
Fractional positions:
V  0.229  0.000  0.321
V  0.771  0.000  0.679
Ir  0.500  0.000  0.000
Ru  0.000  0.500  0.000
Ru  0.266  0.500  0.648
Ru  0.734  0.500  0.352

***

(B)
Here is a relaxed V2IrRu3 crystal from Alexandria. Energies are from GGA-PBE.

Summary:
Symmetry = No. 12
Crystal system = monoclinic
Mass density = 11.80 g/cm3
DOS(E_F) = 10.03 states/eV/cell

Unit cell a=6.688 b=6.688 c=7.410 alpha=121.33 beta=121.33 gamma=37.36
Fractional positions:
V  0.034  0.034  0.186
V  0.289  0.289  0.436
V  0.711  0.711  0.564
V  0.966  0.966  0.814
Ir  0.362  0.362  0.849
Ir  0.638  0.638  0.151
Ru  0.116  0.116  0.565
Ru  0.195  0.195  0.989
Ru  0.466  0.466  0.293
Ru  0.534  0.534  0.707
Ru  0.805  0.805  0.011
Ru  0.884  0.884  0.435

***

Calculated relative energies: (A) 0; (B) 102, given in meV/atom

***

(A)
Here is a relaxed V2Ir5Ru crystal from Alexandria. Energies are from GGA-PBE.

Summary:
Symmetry = No. 63
Crystal system = orthorhombic
Mass density = 14.31 g/cm3
DOS(E_F) = 16.97 states/eV/cell

Unit cell a=7.559 b=7.559 c=13.395 alpha=90.00 beta=90.00 gamma=159.33
Fractional positions:
V  0.111  0.889  0.556
V  0.111  0.889  0.944
V  0.889  0.111  0.056
V  0.889  0.111  0.444
Ir  0.043  0.957  0.103
Ir  0.043  0.957  0.397
Ir  0.202  0.798  0.750
Ir  0.249  0.751  0.085
Ir  0.249  0.751  0.415
Ir  0.751  0.249  0.585
Ir  0.751  0.249  0.915
Ir  0.798  0.202  0.250
Ir  0.957  0.043  0.603
Ir  0.957  0.043  0.897
Ru  0.146  0.854  0.250
Ru  0.854  0.146  0.750

***

(B)
Here is a relaxed V2Ir5Ru crystal from Alexandria. Energies are from GGA-PBE.

Summary:
Symmetry = No. 55
Crystal system = orthorhombic
Mass density = 17.17 g/cm3
DOS(E_F) = 10.99 states/eV/cell

Unit cell a=5.426 b=10.855 c=3.823 alpha=90.00 beta=90.00 gamma=90.00
Fractional positions:
V  0.245  0.123  0.000
V  0.255  0.623  0.000
V  0.745  0.377  0.000
V  0.755  0.877  0.000
Ir  0.000  0.500  0.500
Ir  0.001  0.750  0.500
Ir  0.248  0.876  0.000
Ir  0.252  0.376  0.000
Ir  0.499  0.250  0.500
Ir  0.500  0.000  0.500
Ir  0.501  0.750  0.500
Ir  0.748  0.624  0.000
Ir  0.752  0.124  0.000
Ir  0.999  0.250  0.500
Ru  0.000  0.000  0.500
Ru  0.500  0.500  0.500

***

Calculated relative energies: (A) 776; (B) 0, given in meV/atom

***

(A)
Here is a relaxed VIr4Ru2 crystal from Alexandria. Energies are from GGA-PBE.

Summary:
Symmetry = No. 43
Crystal system = orthorhombic
Mass density = 16.12 g/cm3
DOS(E_F) = 13.44 states/eV/cell

Unit cell a=10.575 b=4.691 c=10.937 alpha=73.11 beta=25.12 gamma=81.77
Fractional positions:
V  0.000  0.000  0.000
V  0.250  0.250  0.250
Ir  0.173  0.792  0.512
Ir  0.234  0.259  0.954
Ir  0.259  0.234  0.552
Ir  0.296  0.698  0.016
Ir  0.698  0.296  0.991
Ir  0.727  0.738  0.458
Ir  0.738  0.727  0.077
Ir  0.792  0.173  0.523
Ru  0.308  0.662  0.645
Ru  0.605  0.865  0.942
Ru  0.662  0.308  0.385
Ru  0.865  0.605  0.588

***

(B)
Here is a relaxed VIr4Ru2 crystal from Alexandria. Energies are from GGA-PBE.

Summary:
Symmetry = No. 63
Crystal system = orthorhombic
Mass density = 16.24 g/cm3
DOS(E_F) = 11.83 states/eV/cell

Unit cell a=4.735 b=4.735 c=12.641 alpha=90.00 beta=90.00 gamma=132.50
Fractional positions:
V  0.064  0.936  0.750
V  0.936  0.064  0.250
Ir  0.000  0.000  0.000
Ir  0.000  0.000  0.500
Ir  0.228  0.772  0.250
Ir  0.422  0.578  0.646
Ir  0.422  0.578  0.854
Ir  0.578  0.422  0.146
Ir  0.578  0.422  0.354
Ir  0.772  0.228  0.750
Ru  0.301  0.699  0.058
Ru  0.301  0.699  0.442
Ru  0.699  0.301  0.558
Ru  0.699  0.301  0.942

***

Calculated relative energies: (A) 37; (B) 0, given in meV/atom